Record 1
Computed, not measured: crystalline Sm2TlAu at its relaxed geometry at the PBE level of DFT.

Unit cell a=3.6912 b=3.6912 c=7.8910 alpha=90.00 beta=90.00 gamma=90.00
Last column: nearest neighbours and their distance in Å.
Fractional coordinates of all 4 atoms:
Sm 0.0000 0.0000 0.2296  4 Au 3.18, 4 Tl 3.37
Sm 0.0000 0.0000 0.7704  4 Au 3.18, 4 Tl 3.37
Tl 0.5000 0.5000 0.5000  8 Sm 3.37, 4 Tl 3.69
Au 0.5000 0.5000 0.0000  8 Sm 3.18

The volume is 108 Å³/cell. The calculation puts the density of states at the Fermi level at 0.74 states/eV per atom. The energy of formation is -56.3 kJ per mole of atoms. The total energy comes out at -4.354 eV per atom.


Record 2
Computed, not measured: crystalline CeAg2Pb at its relaxed geometry at the PBE level of DFT.

Unit cell a=3.8919 b=3.8919 c=6.6743 alpha=90.00 beta=90.00 gamma=90.00
Last column: nearest neighbours and their distance in Å.
Fractional coordinates of all 4 atoms:
Ce 0.0000 0.0000 0.0000  8 Ag 3.21, 2 Pb 3.34
Ag 0.5000 0.5000 0.2467  4 Ce 3.21, 4 Pb 3.23, 2 Ag 3.29-3.38
Ag 0.5000 0.5000 0.7533  4 Ce 3.21, 4 Pb 3.23, 2 Ag 3.29-3.38
Pb 0.0000 0.0000 0.5000  8 Ag 3.23, 2 Ce 3.34

The volume is 101 Å³/cell. The calculation puts the density of states at the Fermi level at 1.97 states/eV per atom. The energy of formation is -5.5 kJ per mole of atoms. The total energy comes out at -3.893 eV per atom.


Record 3
Computed, not measured: crystalline BaMnRh at its relaxed geometry at the PBE level of DFT.

Unit cell a=3.9937 b=3.9946 c=11.1590 alpha=89.98 beta=79.78 gamma=60.02
Last column: nearest neighbours and their distance in Å.
Fractional coordinates of all 6 atoms:
Ba 0.0362 0.2324 0.1931  3 Rh 3.08, 1 Mn 3.38
Ba 0.9638 0.7676 0.8069  3 Rh 3.08, 1 Mn 3.38
Mn 0.1682 0.6658 0.4975  3 Mn 2.31
Mn 0.8318 0.3342 0.5025  3 Mn 2.31
Rh 0.4209 0.0392 0.6197  1 Rh 2.61, 6 Mn 2.64-2.67
Rh 0.5791 0.9608 0.3803  1 Rh 2.61, 6 Mn 2.64-2.67

The volume is 151 Å³/cell. The calculation puts the density of states at the Fermi level at 1.25 states/eV per atom. The energy of formation is 11.2 kJ per mole of atoms. The total energy comes out at -6.032 eV per atom.


Record 4
Computed, not measured: crystalline SmScAlAu at its relaxed geometry at the PBE level of DFT.

Unit cell a=7.1377 b=7.1377 c=7.1377 alpha=90.00 beta=90.00 gamma=90.00
Last column: nearest neighbours and their distance in Å.
Fractional coordinates of all 16 atoms:
Sm 0.0000 0.0000 0.0000  4 Al 3.09, 4 Au 3.09
Sm 0.0000 0.5000 0.5000  4 Al 3.09, 4 Au 3.09
Sm 0.5000 0.0000 0.5000  4 Al 3.09, 4 Au 3.09
Sm 0.5000 0.5000 0.0000  4 Al 3.09, 4 Au 3.09
Sc 0.0000 0.0000 0.5000  4 Au 3.09, 4 Al 3.09
Sc 0.0000 0.5000 0.0000  4 Au 3.09, 4 Al 3.09
Sc 0.5000 0.0000 0.0000  4 Au 3.09, 4 Al 3.09
Sc 0.5000 0.5000 0.5000  4 Au 3.09, 4 Al 3.09
Al 0.2500 0.2500 0.7500  4 Sc 3.09, 4 Sm 3.09
Al 0.2500 0.7500 0.2500  4 Sc 3.09, 4 Sm 3.09
Al 0.7500 0.2500 0.2500  4 Sc 3.09, 4 Sm 3.09
Al 0.7500 0.7500 0.7500  4 Sc 3.09, 4 Sm 3.09
Au 0.2500 0.2500 0.2500  4 Sm 3.09, 4 Sc 3.09
Au 0.2500 0.7500 0.7500  4 Sm 3.09, 4 Sc 3.09
Au 0.7500 0.2500 0.7500  4 Sm 3.09, 4 Sc 3.09
Au 0.7500 0.7500 0.2500  4 Sm 3.09, 4 Sc 3.09

The volume is 364 Å³/cell. The calculation puts the density of states at the Fermi level at 0.92 states/eV per atom. The energy of formation is -50.0 kJ per mole of atoms. The total energy comes out at -5.036 eV per atom.


Record 5
Computed, not measured: crystalline KMnHg3 at its relaxed geometry at the PBE level of DFT.

Unit cell a=6.2780 b=6.2780 c=6.2780 alpha=90.00 beta=90.00 gamma=90.00
Last column: nearest neighbours and their distance in Å.
Fractional coordinates of all 5 atoms:
K 0.0000 0.0000 0.0000  6 Hg 3.14
Mn 0.5000 0.5000 0.5000  12 Hg 4.44
Hg 0.0000 0.0000 0.5000  2 K 3.14
Hg 0.0000 0.5000 0.0000  2 K 3.14
Hg 0.5000 0.0000 0.0000  2 K 3.14

The volume is 247 Å³/cell. The calculation puts the density of states at the Fermi level at 1.89 states/eV per atom. The energy of formation is 73.1 kJ per mole of atoms. The total energy comes out at -1.477 eV per atom.


Record 6
Computed, not measured: crystalline Nb3Re2Mo6 at its relaxed geometry at the PBE level of DFT.

Unit cell a=5.0938 b=8.6846 c=8.4840 alpha=90.00 beta=92.65 gamma=90.00
Last column: nearest neighbours and their distance in Å.
Fractional coordinates of all 22 atoms:
Nb 0.0000 0.0000 0.0000  4 Mo 2.61, 2 Re 2.89
Nb 0.0000 0.2348 0.5000  6 Mo 2.73-2.90, 2 Re 2.90
Nb 0.0000 0.7652 0.5000  6 Mo 2.73-2.90, 2 Re 2.90
Nb 0.5000 0.1668 0.0000  2 Mo 2.60, 1 Nb 2.90
Nb 0.5000 0.5000 0.5000  4 Mo 2.55
Nb 0.5000 0.8332 0.0000  2 Mo 2.60, 1 Nb 2.90
Re 0.2454 0.0000 0.6993  2 Mo 2.43-2.69
Re 0.2547 0.5000 0.0012  2 Re 2.50-2.59
Re 0.7453 0.5000 0.9988  2 Re 2.50-2.59
Re 0.7546 0.0000 0.3007  2 Mo 2.43-2.69
Mo 0.0026 0.5000 0.3273  2 Mo 2.55, 2 Nb 2.73
Mo 0.0088 0.2547 0.1626  4 Mo 2.55-2.79, 1 Nb 2.61, 3 Re 2.84-2.85
Mo 0.0088 0.7453 0.1626  4 Mo 2.55-2.79, 1 Nb 2.61, 3 Re 2.84-2.85
Mo 0.2823 0.0000 0.3329  2 Re 2.43-2.69
Mo 0.4941 0.3193 0.7366  2 Nb 2.55-2.60, 2 Mo 2.69-2.79
Mo 0.4941 0.6807 0.7366  2 Nb 2.55-2.60, 2 Mo 2.69-2.79
Mo 0.5059 0.3193 0.2634  2 Nb 2.55-2.60, 2 Mo 2.69-2.79
Mo 0.5059 0.6807 0.2634  2 Nb 2.55-2.60, 2 Mo 2.69-2.79
Mo 0.7177 0.0000 0.6671  2 Re 2.43-2.69
Mo 0.9912 0.2547 0.8374  4 Mo 2.55-2.79, 1 Nb 2.61, 3 Re 2.84-2.85
Mo 0.9912 0.7453 0.8374  4 Mo 2.55-2.79, 1 Nb 2.61, 3 Re 2.84-2.85
Mo 0.9974 0.5000 0.6727  2 Mo 2.55, 2 Nb 2.73

The volume is 375 Å³/cell. The calculation puts the density of states at the Fermi level at 1.00 states/eV per atom. The energy of formation is 24.4 kJ per mole of atoms. The total energy comes out at -10.665 eV per atom.


Record 7
Computed, not measured: crystalline CdTeMo2 at its relaxed geometry at the PBE level of DFT.

Unit cell a=4.1471 b=4.1471 c=8.6074 alpha=90.00 beta=90.00 gamma=90.00
Last column: nearest neighbours and their distance in Å.
Fractional coordinates of all 8 atoms:
Cd 0.0000 0.0000 0.0000  8 Mo 2.93-2.99, 4 Te 2.99
Cd 0.5000 0.5000 0.5000  8 Mo 2.93-2.99, 4 Te 2.99
Te 0.0000 0.5000 0.2500  8 Mo 2.93-2.99, 4 Cd 2.99
Te 0.5000 0.0000 0.7500  8 Mo 2.93-2.99, 4 Cd 2.99
Mo 0.0000 0.0000 0.5000  4 Cd 2.93, 4 Mo 2.99, 4 Te 2.99
Mo 0.0000 0.5000 0.7500  4 Te 2.93, 4 Cd 2.99, 4 Mo 2.99
Mo 0.5000 0.0000 0.2500  4 Te 2.93, 4 Cd 2.99, 4 Mo 2.99
Mo 0.5000 0.5000 0.0000  4 Cd 2.93, 4 Mo 2.99, 4 Te 2.99

The volume is 148 Å³/cell. The calculation puts the density of states at the Fermi level at 1.08 states/eV per atom. The total energy comes out at -5.750 eV per atom. The value obtained for the formation energy from raw total energies is 0.68 eV/atom.


Record 8
Computed, not measured: crystalline Mn5GeS8 at its relaxed geometry at the PBE level of DFT.

Unit cell a=7.1125 b=7.1125 c=7.1125 alpha=106.32 beta=106.32 gamma=115.98
Last column: nearest neighbours and their distance in Å.
Fractional coordinates of all 14 atoms:
Mn 0.0000 0.0000 0.0000  4 S 2.36
Mn 0.1437 0.1139 0.5026  6 S 2.47-2.75
Mn 0.3589 0.8563 0.9702  6 S 2.47-2.75
Mn 0.6113 0.6411 0.4974  6 S 2.47-2.75
Mn 0.8861 0.3887 0.0298  6 S 2.47-2.75
Ge 0.7500 0.2500 0.5000  4 S 2.26
S 0.0646 0.8715 0.6955  4 Mn 2.36-2.57
S 0.1125 0.4096 0.7726  1 Ge 2.26, 1 Mn 2.52
S 0.1285 0.8240 0.1931  4 Mn 2.36-2.57
S 0.1760 0.3691 0.3045  4 Mn 2.36-2.57
S 0.5904 0.3631 0.7030  1 Ge 2.26, 1 Mn 2.52
S 0.6309 0.9354 0.8069  4 Mn 2.36-2.57
S 0.6369 0.3399 0.2274  1 Ge 2.26, 1 Mn 2.52
S 0.6601 0.8875 0.2970  1 Ge 2.26, 1 Mn 2.52

The volume is 274 Å³/cell. The calculation puts the density of states at the Fermi level at 0.37 states/eV per atom. The total energy comes out at -6.385 eV per atom. The value obtained for the formation energy from raw total energies is -0.42 eV/atom.


Record 9
Computed, not measured: crystalline SrZnTc at its relaxed geometry at the PBE level of DFT.

Unit cell a=4.4707 b=5.3375 c=11.3635 alpha=90.00 beta=90.00 gamma=90.00
Last column: nearest neighbours and their distance in Å.
Fractional coordinates of all 12 atoms:
Sr 0.2500 0.2399 0.0000  4 Zn 3.16-3.50, 4 Tc 3.17-3.43, 2 Sr 3.40
Sr 0.2500 0.7399 0.5000  4 Zn 3.16-3.50, 4 Tc 3.17-3.43, 2 Sr 3.40
Sr 0.7500 0.2601 0.5000  4 Zn 3.16-3.50, 4 Tc 3.17-3.43, 2 Sr 3.40
Sr 0.7500 0.7601 0.0000  4 Zn 3.16-3.50, 4 Tc 3.17-3.43, 2 Sr 3.40
Zn 0.2500 0.1196 0.2719  2 Zn 2.57, 4 Tc 2.68-2.79
Zn 0.2500 0.6196 0.7719  2 Zn 2.57, 4 Tc 2.68-2.79
Zn 0.7500 0.3804 0.7719  2 Zn 2.57, 4 Tc 2.68-2.79
Zn 0.7500 0.8804 0.2719  2 Zn 2.57, 4 Tc 2.68-2.79
Tc 0.2500 0.1091 0.7180  2 Tc 2.52, 4 Zn 2.68-2.79
Tc 0.2500 0.6091 0.2180  2 Tc 2.52, 4 Zn 2.68-2.79
Tc 0.7500 0.3909 0.2180  2 Tc 2.52, 4 Zn 2.68-2.79
Tc 0.7500 0.8909 0.7180  2 Tc 2.52, 4 Zn 2.68-2.79

The volume is 271 Å³/cell. The calculation puts the density of states at the Fermi level at 0.75 states/eV per atom. The energy of formation is 14.7 kJ per mole of atoms. The total energy comes out at -4.288 eV per atom.


Record 10
Computed, not measured: crystalline BeHg3C at its relaxed geometry at the PBE level of DFT.

Unit cell a=4.7276 b=4.7276 c=4.7276 alpha=90.00 beta=90.00 gamma=90.00
Last column: nearest neighbours and their distance in Å.
Fractional coordinates of all 5 atoms:
Be 0.0000 0.0000 0.0000  12 Hg 3.34
Hg 0.0000 0.5000 0.5000  2 C 2.36
Hg 0.5000 0.0000 0.5000  2 C 2.36
Hg 0.5000 0.5000 0.0000  2 C 2.36
C 0.5000 0.5000 0.5000  6 Hg 2.36

The volume is 106 Å³/cell. The calculation puts the density of states at the Fermi level at 0.47 states/eV per atom. The energy of formation is 134.7 kJ per mole of atoms. The total energy comes out at -1.375 eV per atom.


Record 11
Computed, not measured: crystalline RhSe at its relaxed geometry at the PBE level of DFT.

Unit cell a=12.2550 b=3.4905 c=6.3689 alpha=90.00 beta=120.99 gamma=90.00
Last column: nearest neighbours and their distance in Å.
Fractional coordinates of all 12 atoms:
Rh 0.0000 0.0000 0.0000  4 Se 2.43-2.45
Rh 0.0254 0.5000 0.6803  3 Se 2.42-2.53
Rh 0.1626 0.0000 0.5271  5 Se 2.44-2.63
Rh 0.5000 0.5000 0.0000  4 Se 2.43-2.45
Rh 0.5254 0.0000 0.6803  3 Se 2.42-2.53
Rh 0.6626 0.5000 0.5271  5 Se 2.44-2.63
Se 0.1738 0.0000 0.9213  4 Rh 2.42-2.44
Se 0.3192 0.5000 0.5773  3 Rh 2.45-2.49
Se 0.4866 0.0000 0.2502  5 Rh 2.43-2.63
Se 0.6738 0.5000 0.9213  4 Rh 2.42-2.44
Se 0.8192 0.0000 0.5773  3 Rh 2.45-2.49
Se 0.9866 0.5000 0.2502  5 Rh 2.43-2.63

The volume is 234 Å³/cell. The calculation puts the density of states at the Fermi level at 0.50 states/eV per atom. The total energy comes out at -5.653 eV per atom. The value obtained for the formation energy from raw total energies is -0.24 eV/atom.


Record 12
Computed, not measured: crystalline La2AlTlGe at its relaxed geometry at the PBE level of DFT.

Unit cell a=7.4022 b=4.7860 c=7.9320 alpha=90.00 beta=95.66 gamma=90.00
Last column: nearest neighbours and their distance in Å.
Fractional coordinates of all 10 atoms:
La 0.1598 0.2500 0.4463  2 Ge 3.08, 3 Al 3.34-3.35, 2 Tl 3.40
La 0.2511 0.2500 0.9829  3 Ge 2.93-3.19
La 0.7489 0.7500 0.0171  3 Ge 2.93-3.19
La 0.8402 0.7500 0.5537  2 Ge 3.08, 3 Al 3.34-3.35, 2 Tl 3.40
Al 0.4362 0.7500 0.3247  1 Ge 2.50
Al 0.5638 0.2500 0.6753  1 Ge 2.50
Tl 0.3558 0.7500 0.7079  3 Al 2.87-3.15
Tl 0.6442 0.2500 0.2921  3 Al 2.87-3.15
Ge 0.1122 0.7500 0.2023  1 Al 2.50
Ge 0.8878 0.2500 0.7977  1 Al 2.50

The volume is 280 Å³/cell. The calculation puts the density of states at the Fermi level at 0.33 states/eV per atom. The energy of formation is -49.7 kJ per mole of atoms. The total energy comes out at -4.631 eV per atom.